# K2SrRe | Alexandria | GGA-PBE | optimized geometry
# - energy of formation (eV/atom) = 1.485
# - relative energy among the computed polymorphs (meV/atom) = 382.1
# - raw total energy (eV per atom) = -2.60
# - total magnetic moment (Bohr magnetons per cell) = 0.80
data_K2SrRe
_symmetry_space_group_name_H-M 'C m m m'
_symmetry_Int_Tables_number 65
_symmetry_space_group_name_Hall '-C 2 2'
_cell_length_a 6.5061
_cell_length_b 12.9872
_cell_length_c 3.0660
_cell_angle_alpha 90.00
_cell_angle_beta 90.00
_cell_angle_gamma 90.00
loop_
_atom_site_label
_atom_site_type_symbol
_atom_site_fract_x
_atom_site_fract_y
_atom_site_fract_z
K1 K 0.2500 0.2500 0.0000
Sr1 Sr 0.0000 0.0000 0.5000
Re1 Re 0.0000 0.5000 0.5000

---

# K2SrRe | Alexandria | GGA-PBE | optimized geometry
# - energy of formation (eV/atom) = 1.380
# - relative energy among the computed polymorphs (meV/atom) = 277.1
# - raw total energy (eV per atom) = -2.70
# - total magnetic moment (Bohr magnetons per cell) = 4.79
data_K2SrRe
_symmetry_space_group_name_H-M 'C 1 2/m 1'
_symmetry_Int_Tables_number 12
_cell_length_a 6.6835
_cell_length_b 13.3515
_cell_length_c 3.6641
_cell_angle_alpha 90.00
_cell_angle_beta 120.45
_cell_angle_gamma 90.00
loop_
_symmetry_equiv_pos_as_xyz
'x,y,z'
'-x,-y,-z'
'-x,y,-z'
'x,-y,z'
'x+1/2,y+1/2,z'
'-x+1/2,-y+1/2,-z'
'-x+1/2,y+1/2,-z'
'x+1/2,-y+1/2,z'
loop_
_atom_site_label
_atom_site_type_symbol
_atom_site_fract_x
_atom_site_fract_y
_atom_site_fract_z
K1 K 0.2500 0.2500 0.0000
Sr1 Sr 0.0000 0.0000 0.5000
Re1 Re 0.0000 0.5000 0.5000

---

# KSrRe2 | Alexandria | GGA-PBE | optimized geometry
# - energy of formation (eV/atom) = 1.487
# - relative energy among the computed polymorphs (meV/atom) = 855.6
# - raw total energy (eV per atom) = -5.43
# - total magnetic moment (Bohr magnetons per cell) = 0.22
data_KSrRe2
_symmetry_space_group_name_H-M 'R -3 m'
_symmetry_Int_Tables_number 166
_symmetry_space_group_name_Hall '-R 3 2"'
_cell_length_a 2.8963
_cell_length_b 2.8963
_cell_length_c 34.4989
_cell_angle_alpha 90.00
_cell_angle_beta 90.00
_cell_angle_gamma 120.00
loop_
_atom_site_label
_atom_site_type_symbol
_atom_site_fract_x
_atom_site_fract_y
_atom_site_fract_z
K1 K 0.0000 0.0000 0.0000
Sr1 Sr 0.0000 0.0000 0.5000
Re1 Re 0.0000 0.0000 0.2469

---

# KSrRe | Alexandria | GGA-PBE | optimized geometry
# - energy of formation (eV/atom) = 1.783
# - relative energy among the computed polymorphs (meV/atom) = 455.2
# - raw total energy (eV per atom) = -3.29
# - total magnetic moment (Bohr magnetons per cell) = 10.83
data_KSrRe
_symmetry_space_group_name_H-M 'F -4 3 m'
_symmetry_Int_Tables_number 216
_symmetry_space_group_name_Hall 'F -4 2 3'
_cell_length_a 7.7625
_cell_length_b 7.7625
_cell_length_c 7.7625
_cell_angle_alpha 90.00
_cell_angle_beta 90.00
_cell_angle_gamma 90.00
loop_
_atom_site_label
_atom_site_type_symbol
_atom_site_fract_x
_atom_site_fract_y
_atom_site_fract_z
K1 K 0.0000 0.0000 0.0000
Sr1 Sr 0.0000 0.0000 0.5000
Re1 Re 0.2500 0.2500 0.2500